Entry 1:
Entry from the Alexandria database: a relaxed Rb2TlAuCl6 crystal (GGA-PBE).

Values from the calculation:
For the uncorrected formation energy, the calculation gives -1115 meV per atom. For the magnetic moment, the calculation gives 0.0 μB/f.u.

a = 7.8958 Å, b = 8.2985 Å, c = 7.7809 Å
α = 53.36°, β = 59.62°, γ = 53.57°
Last column: nearest neighbours and their distance in Å.
Positions (direct):
Rb 0.5909 0.5577 0.2991  7 Cl 3.40-3.71
Rb 0.0414 0.0747 0.8038  7 Cl 3.40-3.71
Tl 0.3162 0.3161 0.0516  4 Cl 2.58
Au 0.8163 0.8161 0.5515  2 Cl 2.33
Cl 0.6371 0.1358 0.2776  1 Au 2.33
Cl 0.1444 0.0380 0.3377  1 Tl 2.58
Cl 0.0470 0.5615 0.2624  1 Tl 2.58
Cl 0.4878 0.5943 0.7655  1 Tl 2.58
Cl 0.5852 0.0709 0.8406  1 Tl 2.58
Cl 0.9954 0.4964 0.8254  1 Au 2.33

Entry 2:
Entry from the Alexandria database: a relaxed RbTl2AuCl8 crystal (GGA-PBE).

Values from the calculation:
For the uncorrected formation energy, the calculation gives -734 meV per atom. For the magnetic moment, the calculation gives 0.0 μB/f.u.

a = 6.6452 Å, b = 6.6452 Å, c = 10.8550 Å
α = 72.18°, β = 72.18°, γ = 60.00°
Last column: nearest neighbours and their distance in Å.
Positions (direct):
Rb 0.0000 0.0000 0.0000  12 Cl 3.84-3.92
Tl 0.7520 0.7520 0.7441  4 Cl 2.49
Tl 0.2480 0.2480 0.2559  4 Cl 2.49
Au 0.5000 0.5000 0.5000  6 Cl 2.78
Cl 0.6702 0.6702 0.9893  1 Tl 2.49
Cl 0.3298 0.3298 0.0107  1 Tl 2.49
Cl 0.5839 0.2283 0.3233  1 Tl 2.49, 1 Au 2.78
Cl 0.7717 0.4161 0.6767  1 Tl 2.49, 1 Au 2.78
Cl 0.1355 0.7717 0.6767  1 Tl 2.49, 1 Au 2.78
Cl 0.2283 0.8645 0.3233  1 Tl 2.49, 1 Au 2.78
Cl 0.8645 0.5839 0.3233  1 Tl 2.49, 1 Au 2.78
Cl 0.4161 0.1355 0.6767  1 Tl 2.49, 1 Au 2.78

- What is the formula in the second record?
  RbTl2AuCl8

- magnetic moment of number 1 (Rb2TlAuCl6)?
  0.0 μB/f.u.

Please write out number 1 again, unchanged.
Entry from the Alexandria database: a relaxed Rb2TlAuCl6 crystal (GGA-PBE).

Values from the calculation:
For the uncorrected formation energy, the calculation gives -1115 meV per atom. For the magnetic moment, the calculation gives 0.0 μB/f.u.

a = 7.8958 Å, b = 8.2985 Å, c = 7.7809 Å
α = 53.36°, β = 59.62°, γ = 53.57°
Last column: nearest neighbours and their distance in Å.
Positions (direct):
Rb 0.5909 0.5577 0.2991  7 Cl 3.40-3.71
Rb 0.0414 0.0747 0.8038  7 Cl 3.40-3.71
Tl 0.3162 0.3161 0.0516  4 Cl 2.58
Au 0.8163 0.8161 0.5515  2 Cl 2.33
Cl 0.6371 0.1358 0.2776  1 Au 2.33
Cl 0.1444 0.0380 0.3377  1 Tl 2.58
Cl 0.0470 0.5615 0.2624  1 Tl 2.58
Cl 0.4878 0.5943 0.7655  1 Tl 2.58
Cl 0.5852 0.0709 0.8406  1 Tl 2.58
Cl 0.9954 0.4964 0.8254  1 Au 2.33